Density functional theory data (GGA-PBE) for a geometry-optimized MgCd3N structure.

Output
raw formation energy	47.6	kJ/mol of atoms
uncorrected energy	-10.2	eV/cell
density of states at the Fermi level	0.80	states/eV per atom
space-group type	No. 221
excess energy over the best structure of this formula in the dataset	0	meV per atom
calculated volume	20.7	Å³ per atom

abc: 4.697 4.697 4.697
angles: 90.00 90.00 90.00
Fractional positions:
N (0.000, 0.000, 0.000)
Cd (0.000, 0.500, 0.000)
Cd (0.500, 0.000, 0.000)
Cd (0.000, 0.000, 0.500)
Mg (0.500, 0.500, 0.500)



Density functional theory data (GGA-PBE) for a geometry-optimized BTe2Se2 structure.

Output
raw formation energy	100.3	kJ/mol of atoms
uncorrected energy	-14.7	eV/cell
density of states at the Fermi level	0.70	states/eV per atom
space-group type	No. 139
excess energy over the best structure of this formula in the dataset	525	meV per atom
calculated volume	32.7	Å³ per atom

abc: 4.102 4.102 10.131
angles: 78.32 78.32 90.00
Fractional positions:
Se (0.559, 0.559, 0.883)
Se (0.441, 0.441, 0.117)
Te (0.750, 0.250, 0.500)
Te (0.250, 0.750, 0.500)
B (0.000, 0.000, 0.000)